Computed, not measured: CuMo2Au after structural relaxation at the GGA-PBE level of DFT. Values from VASP.

Quantum ESPRESSO input file:
```
&SYSTEM
  ibrav = 0, nat = 4, ntyp = 3
/
ATOMIC_SPECIES
Au 196.97 Au.upf
Cu 63.55 Cu.upf
Mo 95.94 Mo.upf
CELL_PARAMETERS angstrom
-5.0459 8.0132 0.7019
-6.9150 6.2571 1.7878
-4.9365 7.3612 3.4073
ATOMIC_POSITIONS angstrom
Au -8.3870 10.7368 2.9270
Cu -12.6563 16.2021 4.4169
Mo -0.0634 0.0811 0.0221
Mo -4.2394 5.4272 1.4795
```

Output
Fermi-level density of states in states/eV/cell: 4.059
Final energy in eV per atom: -6.960
Energy of formation in eV/atom: 0.2987
SG: R3m